Entry 1:
# Mg2PdPt9 PBE optimized geometry
data_Mg2PdPt9
_chemical_formula_sum 'Mg2 Pd1 Pt9'
_cell_length_a 3.947
_cell_length_b 3.947
_cell_length_c 11.964
_cell_angle_alpha 90.00
_cell_angle_beta 90.00
_cell_angle_gamma 90.00
_symmetry_space_group_name_H-M 'P 1'
_symmetry_Int_Tables_number 1
_symmetry_space_group_name_Hall 'P 1'
loop_
_atom_site_label
_atom_site_type_symbol
_atom_site_fract_x
_atom_site_fract_y
_atom_site_fract_z
_atom_site_occupancy
Mg1 Mg 0.000 0.000 0.334 1
Pt1 Pt 0.500 0.000 0.500 1
Pt2 Pt 0.500 0.500 0.335 1
Pd1 Pd 0.000 0.000 0.000 1
Mg2 Mg 0.000 0.000 0.666 1
Pt3 Pt 0.000 0.500 0.831 1
Pt4 Pt 0.000 0.500 0.500 1
Pt5 Pt 0.500 0.000 0.169 1
Pt6 Pt 0.000 0.500 0.169 1
Pt7 Pt 0.500 0.500 0.665 1
Pt8 Pt 0.500 0.000 0.831 1
Pt9 Pt 0.500 0.500 0.000 1
# Total energy: -67.80 eV per cell

Entry 2:
# BaLiClF2 PBE optimized geometry
data_BaLiClF2
_chemical_formula_sum 'Ba2 Li2 Cl2 F4'
_cell_length_a 4.166
_cell_length_b 6.205
_cell_length_c 7.701
_cell_angle_alpha 90.00
_cell_angle_beta 90.00
_cell_angle_gamma 109.61
_symmetry_space_group_name_H-M 'P 1'
_symmetry_Int_Tables_number 1
_symmetry_space_group_name_Hall 'P 1'
loop_
_atom_site_label
_atom_site_type_symbol
_atom_site_fract_x
_atom_site_fract_y
_atom_site_fract_z
_atom_site_occupancy
F1 F 0.844 0.687 0.053 1
Li1 Li 0.000 0.000 0.000 1
Cl1 Cl 0.548 0.096 0.250 1
F2 F 0.156 0.313 0.553 1
F3 F 0.156 0.313 0.947 1
Ba1 Ba 0.726 0.453 0.750 1
Ba2 Ba 0.274 0.547 0.250 1
Cl2 Cl 0.452 0.904 0.750 1
F4 F 0.844 0.687 0.447 1
Li2 Li 0.000 0.000 0.500 1
# Total energy: -49.68 eV per cell

Entry 3:
# LaMn2Br PBE optimized geometry
data_LaMn2Br
_chemical_formula_sum 'La1 Mn2 Br1'
_cell_length_a 5.525
_cell_length_b 4.193
_cell_length_c 4.193
_cell_angle_alpha 90.00
_cell_angle_beta 90.00
_cell_angle_gamma 90.00
_symmetry_space_group_name_H-M 'P 1'
_symmetry_Int_Tables_number 1
_symmetry_space_group_name_Hall 'P 1'
loop_
_atom_site_label
_atom_site_type_symbol
_atom_site_fract_x
_atom_site_fract_y
_atom_site_fract_z
_atom_site_occupancy
Br1 Br 0.500 0.500 0.000 1
Mn1 Mn 0.000 0.000 0.000 1
La1 La 0.500 0.000 0.500 1
Mn2 Mn 0.000 0.500 0.500 1
# Total energy: -24.06 eV per cell
# Energy relative to the lowest polymorph listed for this composition: 296 meV per atom

Entry 4:
# Rb2GeAs2 PBE optimized geometry
data_Rb2GeAs2
_chemical_formula_sum 'Rb4 Ge2 As4'
_cell_length_a 6.871
_cell_length_b 8.331
_cell_length_c 11.274
_cell_angle_alpha 128.30
_cell_angle_beta 90.00
_cell_angle_gamma 114.35
_symmetry_space_group_name_H-M 'P 1'
_symmetry_Int_Tables_number 1
_symmetry_space_group_name_Hall 'P 1'
loop_
_atom_site_label
_atom_site_type_symbol
_atom_site_fract_x
_atom_site_fract_y
_atom_site_fract_z
_atom_site_occupancy
Rb1 Rb 0.323 0.645 0.461 1
Ge1 Ge 0.366 0.733 0.834 1
Rb2 Rb 0.901 0.803 0.167 1
As1 As 0.554 0.109 0.892 1
Ge2 Ge 0.634 0.267 0.166 1
As2 As 0.446 0.891 0.108 1
As3 As 0.832 0.664 0.403 1
As4 As 0.168 0.336 0.597 1
Rb3 Rb 0.099 0.197 0.833 1
Rb4 Rb 0.677 0.355 0.539 1
# Total energy: -34.72 eV per cell

Entry 5:
# LaNb2P2 PBE optimized geometry
data_LaNb2P2
_chemical_formula_sum 'La1 Nb2 P2'
_cell_length_a 4.816
_cell_length_b 4.816
_cell_length_c 5.551
_cell_angle_alpha 64.29
_cell_angle_beta 64.29
_cell_angle_gamma 90.00
_symmetry_space_group_name_H-M 'P 1'
_symmetry_Int_Tables_number 1
_symmetry_space_group_name_Hall 'P 1'
loop_
_atom_site_label
_atom_site_type_symbol
_atom_site_fract_x
_atom_site_fract_y
_atom_site_fract_z
_atom_site_occupancy
P1 P 0.750 0.250 0.500 1
La1 La 0.000 0.000 0.000 1
Nb1 Nb 0.642 0.642 0.717 1
Nb2 Nb 0.358 0.358 0.283 1
P2 P 0.250 0.750 0.500 1
# Total energy: -39.26 eV per cell

Entry 6:
# Ac2TmAl12Pt3 PBE optimized geometry
data_Ac2TmAl12Pt3
_chemical_formula_sum 'Ac2 Tm1 Al12 Pt3'
_cell_length_a 10.769
_cell_length_b 10.769
_cell_length_c 10.769
_cell_angle_alpha 36.74
_cell_angle_beta 36.74
_cell_angle_gamma 36.74
_symmetry_space_group_name_H-M 'P 1'
_symmetry_Int_Tables_number 1
_symmetry_space_group_name_Hall 'P 1'
loop_
_atom_site_label
_atom_site_type_symbol
_atom_site_fract_x
_atom_site_fract_y
_atom_site_fract_z
_atom_site_occupancy
Tm1 Tm 0.000 0.000 0.000 1
Al1 Al 0.594 0.594 0.189 1
Al2 Al 0.189 0.594 0.594 1
Pt1 Pt 0.500 0.000 0.000 1
Al3 Al 0.594 0.189 0.594 1
Al4 Al 0.361 0.938 0.938 1
Al5 Al 0.406 0.406 0.811 1
Al6 Al 0.639 0.062 0.062 1
Al7 Al 0.938 0.361 0.938 1
Al8 Al 0.938 0.938 0.361 1
Al9 Al 0.062 0.639 0.062 1
Pt2 Pt 0.000 0.500 0.000 1
Al10 Al 0.811 0.406 0.406 1
Al11 Al 0.406 0.811 0.406 1
Pt3 Pt 0.000 0.000 0.500 1
Ac1 Ac 0.356 0.356 0.356 1
Ac2 Ac 0.644 0.644 0.644 1
Al12 Al 0.062 0.062 0.639 1
# Total energy: -81.20 eV per cell